DFT (GGA-PBE) results for a relaxed Hf5Ge crystal.

a = 4.207 Å, b = 4.292 Å, c = 7.271 Å
α = 107.16°, β = 90.00°, γ = 90.00°
Element x y z (fractional)
1 Ge 0.000 0.000 0.000
2 Hf 0.500 0.836 0.672
3 Hf 0.000 0.668 0.337
4 Hf 0.500 0.500 0.000
5 Hf 0.000 0.332 0.663
6 Hf 0.500 0.164 0.328

energy relative to the elements: -15.3 kJ per mole of atoms
Fermi-level density of states: 5.3 states/eV per cell
size of the total moment: 0.00 μB per cell
E: -9.223 eV/atom